Record 1
## CaHf2TiN4 (PBE)

Data for crystalline CaHf2TiN4 at its relaxed geometry.

Unit cell a=6.4371 b=6.4371 c=6.3939 alpha=119.78 beta=119.78 gamma=89.91
Atoms (fractional coordinates):
N (0.2686, 0.7692, 0.5189)
N (0.2692, 0.7686, 0.0189)
N (0.7427, 0.7573, 0.5008)
N (0.7308, 0.2314, 0.9811)
N (0.2573, 0.2427, 0.0008)
N (0.2573, 0.2427, 0.4992)
N (0.7427, 0.7573, 0.9992)
N (0.7314, 0.2308, 0.4811)
Hf (0.5000, 0.0000, 0.0000)
Hf (0.0000, 0.0000, 0.5000)
Hf (0.5000, 0.5000, 0.0000)
Hf (0.5000, 0.0000, 0.5000)
Ti (0.5000, 0.5000, 0.5000)
Ti (0.0000, 0.0000, 0.0000)
Ca (0.0000, 0.5000, 0.5000)
Ca (0.0000, 0.5000, 0.0000)

Properties
Energy relative to the elements, uncorrected = -1.5905 eV/atom
Space-group type = No. 74
Magnetization = 0.0 μB per formula unit
Crystal system = orthorhombic
DOS(E_F) = 0.320 states/eV/atom


Record 2
## Ca3TmHf2N6 (PBE)

Data for crystalline Ca3TmHf2N6 at its relaxed geometry.

Unit cell a=5.7933 b=5.7933 c=5.9539 alpha=99.35 beta=99.35 gamma=120.02
Atoms (fractional coordinates):
Hf (0.6670, 0.3330, 0.0000)
Hf (0.3330, 0.6670, 0.0000)
N (0.0721, 0.4202, 0.2161)
N (0.2757, 0.2757, 0.7828)
N (0.9279, 0.5798, 0.7839)
N (0.5798, 0.9279, 0.7839)
N (0.4202, 0.0721, 0.2161)
N (0.7243, 0.7243, 0.2172)
Ca (0.5000, 0.5000, 0.5000)
Ca (0.8334, 0.1666, 0.5000)
Ca (0.1666, 0.8334, 0.5000)
Tm (0.0000, 0.0000, 0.0000)

Properties
Energy relative to the elements, uncorrected = -1.4443 eV/atom
Space-group type = No. 12
Magnetization = 0.0 μB per formula unit
Crystal system = monoclinic
DOS(E_F) = 0.596 states/eV/atom


Record 3
## Ca3Hf2UN6 (PBE)

Data for crystalline Ca3Hf2UN6 at its relaxed geometry.

Unit cell a=5.8027 b=5.8027 c=5.9520 alpha=99.34 beta=99.34 gamma=119.99
Atoms (fractional coordinates):
Ca (0.5000, 0.5000, 0.5000)
Ca (0.1684, 0.8316, 0.5000)
Ca (0.8316, 0.1684, 0.5000)
N (0.2634, 0.2634, 0.7894)
N (0.5955, 0.9295, 0.7880)
N (0.0705, 0.4045, 0.2120)
N (0.9295, 0.5955, 0.7880)
N (0.4045, 0.0705, 0.2120)
N (0.7366, 0.7366, 0.2106)
Hf (0.3335, 0.6665, 0.0000)
Hf (0.6665, 0.3335, 0.0000)
U (0.0000, 0.0000, 0.0000)

Properties
Energy relative to the elements, uncorrected = -1.5084 eV/atom
Space-group type = No. 12
Magnetization = 1.1 μB per formula unit
Crystal system = monoclinic
DOS(E_F) = 0.410 states/eV/atom


Record 4
## CaHfZr2N4 (PBE)

Data for crystalline CaHfZr2N4 at its relaxed geometry.

Unit cell a=6.5708 b=6.5708 c=6.5554 alpha=119.92 beta=119.92 gamma=89.85
Atoms (fractional coordinates):
N (0.7446, 0.7554, 0.5078)
N (0.2554, 0.2446, 0.0078)
N (0.2693, 0.7620, 0.5157)
N (0.7380, 0.2307, 0.9843)
N (0.2554, 0.2446, 0.4922)
N (0.2620, 0.7693, 0.0157)
N (0.7446, 0.7554, 0.9922)
N (0.7307, 0.2380, 0.4843)
Zr (0.0000, 0.0000, 0.5000)
Zr (0.5000, 0.5000, 0.0000)
Zr (0.5000, 0.0000, 0.0000)
Zr (0.5000, 0.0000, 0.5000)
Ca (0.0000, 0.5000, 0.5000)
Ca (0.0000, 0.5000, 0.0000)
Hf (0.0000, 0.0000, 0.0000)
Hf (0.5000, 0.5000, 0.5000)

Properties
Energy relative to the elements, uncorrected = -1.6107 eV/atom
Space-group type = No. 74
Magnetization = 0.0 μB per formula unit
Crystal system = orthorhombic
DOS(E_F) = 0.286 states/eV/atom